Material: LaMgAl
Method: DFT, PBE-GGA
State: relaxed

Properties
Magnetization = 0.000 μB/f.u.
Calculated volume = 76 Å³/f.u.
SG = Amm2, No. 38
Formation energy = -0.114 eV/atom
Final energy = -3.54 eV per atom

Cell lengths 4.9170, 4.8798, 6.7714 Å; angles 68.89, 90.00, 89.99 degrees
Element x y z (fractional)
Al (0.9218, 0.0258, 0.5455)
Al (0.9214, 0.6559, 0.2851)
Mg (0.4212, 0.5243, 0.5427)
Mg (0.4218, 0.1517, 0.2878)
La (0.4217, 0.8390, 0.9153)
La (0.9216, 0.3402, 0.9153)